# 1
LiCu2PbAu | PBE | relaxed

Lattice parameters (Å, degrees): 4.8640 4.5793 4.8640 90.00 90.00 90.00
Fractional positions:
Pb 0.5000 0.5000 0.5000
Au 0.0000 0.0000 0.0000
Cu 0.0000 0.0000 0.5000
Cu 0.5000 0.0000 0.0000
Li 0.0000 0.5000 0.0000

SG = P4/mmm (123)
E_form = 0.2664 eV/atom
DOS at the Fermi energy = 2.0 states/eV/f.u.
Size of the total moment = 0.00 Bohr magnetons per cell
Calculated volume = 21.7 Å³/atom

---

# 2
LiCuPdAu | PBE | relaxed

Lattice parameters (Å, degrees): 3.4948 4.0530 4.0543 90.00 90.00 90.00
Fractional positions:
Li 0.0000 0.5000 0.5000
Cu 0.0000 0.0000 0.0000
Pd 0.5000 0.0000 0.5000
Au 0.5000 0.5000 0.0000

SG = Pmmm (47)
E_form = -0.3462 eV/atom
DOS at the Fermi energy = 0.6 states/eV/f.u.
Size of the total moment = 0.00 Bohr magnetons per cell
Calculated volume = 14.4 Å³/atom

---

# 3
LiCuPd2Au | PBE | relaxed

Lattice parameters (Å, degrees): 5.3266 5.2739 6.4169 114.26 90.00 90.00
Fractional positions:
Li 0.2500 0.6499 0.2997
Li 0.7500 0.3501 0.7003
Cu 0.2500 0.8496 0.6993
Cu 0.7500 0.1504 0.3007
Pd 0.5000 0.2513 0.0000
Pd 0.0000 0.7487 0.0000
Pd 0.5000 0.7487 0.0000
Pd 0.0000 0.2513 0.0000
Au 0.7500 0.6979 0.3958
Au 0.2500 0.3021 0.6042

SG = Cmcm (63)
E_form = 0.0103 eV/atom
DOS at the Fermi energy = 2.0 states/eV/f.u.
Size of the total moment = 0.00 Bohr magnetons per cell
Calculated volume = 16.4 Å³/atom

---

# 4
LiCu2PdAu | PBE | relaxed

Lattice parameters (Å, degrees): 4.1115 6.7381 5.4379 90.00 90.00 107.76
Fractional positions:
Li 0.5000 0.0000 0.5000
Li 0.5000 0.0000 0.0000
Cu 0.3008 0.6016 0.9950
Cu 0.6992 0.3984 0.4950
Cu 0.3008 0.6016 0.5050
Cu 0.6992 0.3984 0.0050
Pd 0.8863 0.7727 0.7500
Pd 0.1137 0.2273 0.2500
Au 0.8906 0.7813 0.2500
Au 0.1094 0.2187 0.7500

SG = Cmcm (63)
E_form = -0.2132 eV/atom
DOS at the Fermi energy = 1.5 states/eV/f.u.
Size of the total moment = 0.00 Bohr magnetons per cell
Calculated volume = 14.3 Å³/atom